Computed, not measured: a relaxed Hf2Ta2In crystal at the GGA-PBE level of DFT.

Cell lengths 7.6547, 7.6547, 7.6547 Å; angles 150.11, 150.11, 42.77 degrees
Last column: nearest neighbours and their distance in Å.
Atoms (fractional coordinates):
Hf 0.0993 0.0993 0.0000  1 Hf 2.83, 4 Ta 2.92, 4 In 3.13
Hf 0.9007 0.9007 0.0000  1 Hf 2.83, 4 Ta 2.92, 4 In 3.13
Ta 0.2500 0.7500 0.5000  4 Ta 2.79, 4 Hf 2.92
Ta 0.7500 0.2500 0.5000  4 Ta 2.79, 4 Hf 2.92
In 0.5000 0.5000 0.0000  8 Hf 3.13

Output
Electronic total energy = -43.7 eV per cell
Crystal system = tetragonal
Symmetry = I4/mmm (139)